a) Sb2WBr after structural relaxation, computed with PBE-GGA.

Calculated values
Symmetry: No. 225
Magnetic moment (μB per formula unit): 0.971
N(E_F) (states/eV/cell): 4.076

Unit cell a=5.019 b=5.019 c=5.019 alpha=60.00 beta=60.00 gamma=60.00
Atoms (fractional coordinates):
1 Sb 0.250 0.250 0.250
2 Sb 0.750 0.750 0.750
3 Br 0.000 0.000 0.000
4 W 0.500 0.500 0.500

=====

b) Sb2WBr after structural relaxation, computed with PBE-GGA.

Calculated values
Symmetry: No. 6
Magnetic moment (μB per formula unit): 0.000
N(E_F) (states/eV/cell): 2.246

Unit cell a=3.427 b=3.759 c=8.470 alpha=77.34 beta=90.00 gamma=90.00
Atoms (fractional coordinates):
1 Sb 0.000 0.897 0.078
2 Sb 0.500 0.284 0.306
3 Br 0.500 0.601 0.678
4 W 0.000 0.719 0.438

=====

The structure with the least stability is a).

=====

a) Sb2WBr after structural relaxation, computed with PBE-GGA.

Calculated values
Symmetry: No. 122
Magnetic moment (μB per formula unit): 0.000
N(E_F) (states/eV/cell): 7.377

Unit cell a=6.759 b=6.759 c=7.874 alpha=64.59 beta=64.59 gamma=90.00
Atoms (fractional coordinates):
1 Sb 0.704 0.125 0.250
2 Sb 0.046 0.625 0.250
3 Sb 0.375 0.296 0.750
4 Sb 0.875 0.954 0.750
5 Br 0.500 0.500 0.000
6 Br 0.250 0.750 0.500
7 W 0.000 0.000 0.000
8 W 0.750 0.250 0.500

=====

b) Sb2WBr after structural relaxation, computed with PBE-GGA.

Calculated values
Symmetry: No. 10
Magnetic moment (μB per formula unit): 0.000
N(E_F) (states/eV/cell): 2.917

Unit cell a=3.374 b=3.437 c=8.388 alpha=81.74 beta=90.00 gamma=90.00
Atoms (fractional coordinates):
1 Sb 0.000 0.818 0.057
2 Sb 0.000 0.682 0.443
3 Br 0.500 0.750 0.750
4 W 0.500 0.250 0.250

=====

The structure with the least stability is a).

=====

a) Sb2WBr after structural relaxation, computed with PBE-GGA.

Calculated values
Symmetry: No. 12
Magnetic moment (μB per formula unit): 0.000
N(E_F) (states/eV/cell): 2.557

Unit cell a=7.606 b=5.696 c=3.123 alpha=73.53 beta=90.80 gamma=132.18
Atoms (fractional coordinates):
1 Sb 0.000 0.000 0.000
2 Sb 0.500 0.000 0.500
3 Br 0.500 0.500 0.000
4 W 0.000 0.500 0.500

=====

b) Sb2WBr after structural relaxation, computed with PBE-GGA.

Calculated values
Symmetry: No. 44
Magnetic moment (μB per formula unit): 0.000
N(E_F) (states/eV/cell): 2.776

Unit cell a=8.006 b=8.006 c=8.006 alpha=156.67 beta=146.05 gamma=41.60
Atoms (fractional coordinates):
1 Sb 0.977 0.977 0.000
2 Sb 0.352 0.852 0.500
3 Br 0.654 0.154 0.500
4 W 0.517 0.517 0.000

=====

The structure with the least stability is a).

=====

a) Sb2WBr after structural relaxation, computed with PBE-GGA.

Calculated values
Symmetry: No. 35
Magnetic moment (μB per formula unit): 0.080
N(E_F) (states/eV/cell): 3.618

Unit cell a=3.213 b=3.213 c=11.771 alpha=90.00 beta=90.00 gamma=122.50
Atoms (fractional coordinates):
1 Sb 0.000 0.000 0.999
2 Sb 0.500 0.500 0.306
3 Br 0.500 0.500 0.685
4 W 0.000 0.000 0.510

=====

b) Sb2WBr after structural relaxation, computed with PBE-GGA.

Calculated values
Symmetry: No. 123
Magnetic moment (μB per formula unit): 0.000
N(E_F) (states/eV/cell): 2.795

Unit cell a=3.392 b=3.392 c=8.041 alpha=90.00 beta=90.00 gamma=90.00
Atoms (fractional coordinates):
1 Sb 0.000 0.000 0.049
2 Sb 0.000 0.000 0.451
3 Br 0.500 0.500 0.750
4 W 0.500 0.500 0.250

=====

c) Sb2WBr after structural relaxation, computed with PBE-GGA.

Calculated values
Symmetry: No. 99
Magnetic moment (μB per formula unit): 0.000
N(E_F) (states/eV/cell): 3.576

Unit cell a=3.184 b=3.184 c=9.737 alpha=90.00 beta=90.00 gamma=90.00
Atoms (fractional coordinates):
1 Sb 0.000 0.000 0.021
2 Sb 0.500 0.500 0.315
3 Br 0.500 0.500 0.666
4 W 0.000 0.000 0.498

=====

d) Sb2WBr after structural relaxation, computed with PBE-GGA.

Calculated values
Symmetry: No. 123
Magnetic moment (μB per formula unit): 2.640
N(E_F) (states/eV/cell): 2.175

Unit cell a=5.336 b=4.230 c=4.230 alpha=90.00 beta=90.00 gamma=90.00
Atoms (fractional coordinates):
1 Sb 0.000 0.000 0.000
2 Sb 0.000 0.500 0.500
3 Br 0.500 0.000 0.500
4 W 0.500 0.500 0.000

=====

The structure with the least stability is d).

=====

a) Sb2WBr after structural relaxation, computed with PBE-GGA.

Calculated values
Symmetry: No. 139
Magnetic moment (μB per formula unit): 0.001
N(E_F) (states/eV/cell): 2.571

Unit cell a=5.215 b=5.215 c=5.215 alpha=127.62 beta=127.62 gamma=77.24
Atoms (fractional coordinates):
1 Sb 0.000 0.000 0.000
2 Sb 0.500 0.500 0.000
3 Br 0.750 0.250 0.500
4 W 0.250 0.750 0.500

=====

b) Sb2WBr after structural relaxation, computed with PBE-GGA.

Calculated values
Symmetry: No. 12
Magnetic moment (μB per formula unit): 0.000
N(E_F) (states/eV/cell): 2.301

Unit cell a=3.529 b=3.529 c=9.006 alpha=78.65 beta=78.65 gamma=59.91
Atoms (fractional coordinates):
1 Sb 0.989 0.989 0.034
2 Sb 0.511 0.511 0.466
3 Br 0.750 0.750 0.750
4 W 0.250 0.250 0.250

=====

The structure with the least stability is a).

=====

a) SbWBr after structural relaxation, computed with PBE-GGA.

Calculated values
Symmetry: No. 216
Magnetic moment (μB per formula unit): 2.007
N(E_F) (states/eV/cell): 2.310

Unit cell a=4.832 b=4.832 c=4.832 alpha=60.00 beta=60.00 gamma=60.00
Atoms (fractional coordinates):
1 Sb 0.250 0.250 0.250
2 Br 0.500 0.500 0.500
3 W 0.000 0.000 0.000

=====

b) SbWBr after structural relaxation, computed with PBE-GGA.

Calculated values
Symmetry: No. 156
Magnetic moment (μB per formula unit): 0.000
N(E_F) (states/eV/cell): 2.044

Unit cell a=4.809 b=4.809 c=3.104 alpha=90.00 beta=90.00 gamma=120.00
Atoms (fractional coordinates):
1 Sb 0.667 0.333 0.448
2 Br 0.000 0.000 0.834
3 W 0.333 0.667 0.718

=====

The structure with the least stability is a).

=====

a) Y2SbBr after structural relaxation, computed with PBE-GGA.

Calculated values
Symmetry: No. 122
Magnetic moment (μB per formula unit): 0.000
N(E_F) (states/eV/cell): 6.391

Unit cell a=6.613 b=6.613 c=8.286 alpha=66.48 beta=66.48 gamma=90.00
Atoms (fractional coordinates):
1 Y 0.618 0.125 0.250
2 Y 0.132 0.625 0.250
3 Y 0.375 0.382 0.750
4 Y 0.875 0.868 0.750
5 Sb 0.000 0.000 0.000
6 Sb 0.750 0.250 0.500
7 Br 0.500 0.500 0.000
8 Br 0.250 0.750 0.500

=====

b) Y2SbBr after structural relaxation, computed with PBE-GGA.

Calculated values
Symmetry: No. 10
Magnetic moment (μB per formula unit): 0.000
N(E_F) (states/eV/cell): 2.420

Unit cell a=4.303 b=7.388 c=6.036 alpha=35.44 beta=90.00 gamma=90.00
Atoms (fractional coordinates):
1 Y 0.000 0.000 0.000
2 Y 0.500 0.500 0.000
3 Sb 0.000 0.000 0.500
4 Br 0.500 0.500 0.500

=====

c) Y2SbBr after structural relaxation, computed with PBE-GGA.

Calculated values
Symmetry: No. 44
Magnetic moment (μB per formula unit): 0.000
N(E_F) (states/eV/cell): 3.037

Unit cell a=6.851 b=6.851 c=6.851 alpha=150.39 beta=134.65 gamma=55.09
Atoms (fractional coordinates):
1 Y 0.002 0.002 0.000
2 Y 0.738 0.238 0.500
3 Sb 0.236 0.736 0.500
4 Br 0.524 0.524 0.000

=====

The structure with the least stability is a).

=====

a) Y2SbBr after structural relaxation, computed with PBE-GGA.

Calculated values
Symmetry: No. 225
Magnetic moment (μB per formula unit): 1.335
N(E_F) (states/eV/cell): 2.211

Unit cell a=5.287 b=5.287 c=5.287 alpha=60.00 beta=60.00 gamma=60.00
Atoms (fractional coordinates):
1 Y 0.250 0.250 0.250
2 Y 0.750 0.750 0.750
3 Sb 0.500 0.500 0.500
4 Br 0.000 0.000 0.000

=====

b) Y2SbBr after structural relaxation, computed with PBE-GGA.

Calculated values
Symmetry: No. 99
Magnetic moment (μB per formula unit): 0.000
N(E_F) (states/eV/cell): 3.356

Unit cell a=3.597 b=3.597 c=9.674 alpha=90.00 beta=90.00 gamma=90.00
Atoms (fractional coordinates):
1 Y 0.000 0.000 0.993
2 Y 0.500 0.500 0.278
3 Sb 0.500 0.500 0.789
4 Br 0.000 0.000 0.441

=====

c) Y2SbBr after structural relaxation, computed with PBE-GGA.

Calculated values
Symmetry: No. 12
Magnetic moment (μB per formula unit): 0.000
N(E_F) (states/eV/cell): 2.669

Unit cell a=4.438 b=4.438 c=7.098 alpha=71.88 beta=71.88 gamma=59.85
Atoms (fractional coordinates):
1 Y 0.997 0.997 0.009
2 Y 0.503 0.503 0.491
3 Sb 0.250 0.250 0.250
4 Br 0.750 0.750 0.750

=====

The structure with the least stability is b).

=====

a) YSbBr3 after structural relaxation, computed with PBE-GGA.

Calculated values
Symmetry: No. 221
Magnetic moment (μB per formula unit): 1.580
N(E_F) (states/eV/cell): 6.074

Unit cell a=5.715 b=5.715 c=5.715 alpha=90.00 beta=90.00 gamma=90.00
Atoms (fractional coordinates):
1 Y 0.500 0.500 0.500
2 Sb 0.000 0.000 0.000
3 Br 0.000 0.500 0.000
4 Br 0.000 0.000 0.500
5 Br 0.500 0.000 0.000

=====

b) YSbBr3 after structural relaxation, computed with PBE-GGA.

Calculated values
Symmetry: No. 221
Magnetic moment (μB per formula unit): 3.000
N(E_F) (states/eV/cell): 0.000

Unit cell a=5.665 b=5.665 c=5.665 alpha=90.00 beta=90.00 gamma=90.00
Atoms (fractional coordinates):
1 Y 0.000 0.000 0.000
2 Sb 0.500 0.500 0.500
3 Br 0.000 0.500 0.000
4 Br 0.000 0.000 0.500
5 Br 0.500 0.000 0.000

=====

The structure with the least stability is a).

=====

a) Zn2SbBr after structural relaxation, computed with PBE-GGA.

Calculated values
Symmetry: No. 119
Magnetic moment (μB per formula unit): 0.000
N(E_F) (states/eV/cell): 2.287

Unit cell a=7.975 b=7.975 c=7.975 alpha=152.06 beta=152.06 gamma=39.92
Atoms (fractional coordinates):
1 Br 0.500 0.500 0.000
2 Sb 0.750 0.250 0.500
3 Zn 0.000 0.000 0.000
4 Zn 0.250 0.750 0.500

=====

b) Zn2SbBr after structural relaxation, computed with PBE-GGA.

Calculated values
Symmetry: No. 8
Magnetic moment (μB per formula unit): 0.000
N(E_F) (states/eV/cell): 0.653

Unit cell a=8.213 b=8.213 c=4.213 alpha=98.11 beta=98.11 gamma=26.83
Atoms (fractional coordinates):
1 Br 0.476 0.476 0.752
2 Sb 0.229 0.229 0.162
3 Zn 0.072 0.072 0.928
4 Zn 0.724 0.724 0.658

=====

The structure with the least stability is a).

=====

a) Zn2SbBr after structural relaxation, computed with PBE-GGA.

Calculated values
Symmetry: No. 123
Magnetic moment (μB per formula unit): 0.000
N(E_F) (states/eV/cell): 2.402

Unit cell a=3.510 b=3.510 c=7.363 alpha=90.00 beta=90.00 gamma=90.00
Atoms (fractional coordinates):
1 Br 0.500 0.500 0.250
2 Sb 0.500 0.500 0.750
3 Zn 0.000 0.000 0.984
4 Zn 0.000 0.000 0.516

=====

b) Zn2SbBr after structural relaxation, computed with PBE-GGA.

Calculated values
Symmetry: No. 166
Magnetic moment (μB per formula unit): 0.000
N(E_F) (states/eV/cell): 0.650

Unit cell a=7.175 b=7.175 c=7.175 alpha=32.76 beta=32.76 gamma=32.76
Atoms (fractional coordinates):
1 Br 0.250 0.250 0.250
2 Sb 0.750 0.750 0.750
3 Zn 0.010 0.010 0.010
4 Zn 0.490 0.490 0.490

=====

c) Zn2SbBr after structural relaxation, computed with PBE-GGA.

Calculated values
Symmetry: No. 35
Magnetic moment (μB per formula unit): 0.000
N(E_F) (states/eV/cell): 1.267

Unit cell a=3.375 b=3.375 c=9.244 alpha=90.00 beta=90.00 gamma=115.10
Atoms (fractional coordinates):
1 Br 0.000 0.000 0.432
2 Sb 0.500 0.500 0.796
3 Zn 0.000 0.000 0.033
4 Zn 0.500 0.500 0.240

=====

d) Zn2SbBr after structural relaxation, computed with PBE-GGA.

Calculated values
Symmetry: No. 10
Magnetic moment (μB per formula unit): 0.000
N(E_F) (states/eV/cell): 1.077

Unit cell a=4.426 b=7.440 c=5.648 alpha=50.29 beta=90.00 gamma=90.00
Atoms (fractional coordinates):
1 Br 0.500 0.250 0.250
2 Sb 0.500 0.750 0.750
3 Zn 0.000 0.757 0.029
4 Zn 0.000 0.743 0.471

=====

The structure with the least stability is a).